The following is a DFT calculation (PBE) of a relaxed structure of Ac2Nd3HoSe6.

Lattice parameters (Å, degrees): 7.4367 7.4367 7.4037 99.69 99.69 120.13
Last column: nearest neighbours and their distance in Å.
Sites, in units of the cell vectors:
Se 0.0824 0.3990 0.2506  1 Ho 2.93, 3 Nd 2.98-3.06, 2 Ac 3.09
Se 0.3990 0.0824 0.2506  1 Ho 2.93, 3 Nd 2.98-3.06, 2 Ac 3.09
Se 0.7715 0.7715 0.2592  1 Ho 2.96, 3 Nd 3.02-3.11, 2 Ac 3.11
Se 0.6010 0.9176 0.7494  1 Ho 2.93, 3 Nd 2.98-3.06, 2 Ac 3.09
Se 0.2285 0.2285 0.7408  1 Ho 2.96, 3 Nd 3.02-3.11, 2 Ac 3.11
Se 0.9176 0.6010 0.7494  1 Ho 2.93, 3 Nd 2.98-3.06, 2 Ac 3.09
Ho 0.0000 0.0000 0.0000  6 Se 2.93-2.96
Nd 0.1749 0.8251 0.5000  6 Se 2.98-3.06
Nd 0.5000 0.5000 0.5000  6 Se 2.98-3.11
Nd 0.8251 0.1749 0.5000  6 Se 2.98-3.06
Ac 0.3346 0.6654 0.0000  6 Se 3.09-3.11
Ac 0.6654 0.3346 0.0000  6 Se 3.09-3.11

## Properties
The crystal system is monoclinic. The value obtained for the total energy is -69.72 eV per cell. The value obtained for the calculated volume is 333 Å³/cell. As for the formation energy without anion corrections: -1.810 eV per atom.